(1)
Below is a relaxed TePbI2N crystal, with properties calculated at the GGA-PBEsol level.

Cell: 5.0154 5.0154 4.9296 Å, 90.00 90.00 90.00°
Positions (direct):
Te  0.0000  0.0000  0.0000
Pb  0.5000  0.5000  0.0000
I  0.0000  0.5000  0.5000
I  0.5000  0.0000  0.5000
N  0.0000  0.0000  0.5000

Values from the calculation:
space group: No. 123
calculated total energy: -3.41 eV per atom
N(E_F): 1.78 states/eV/cell
mass density: 8.07 g/cm3
E_form (uncorrected): 0.502 eV/atom
calculated volume: 24.80 A^3/atom


(2)
Below is a relaxed Li2YMg crystal, with properties calculated at the GGA-PBEsol level.

Cell: 5.8800 5.8800 5.3062 Å, 115.40 115.40 33.68°
Positions (direct):
Li  0.0000  0.0000  0.0000
Li  0.7093  0.7093  0.2175
Y  0.4827  0.4827  0.4856
Mg  0.2647  0.2647  0.7746

Values from the calculation:
space group: No. 8
calculated total energy: -3.04 eV per atom
N(E_F): 3.30 states/eV/cell
mass density: 2.32 g/cm3
calculated volume: 22.74 A^3/atom


(3)
Below is a relaxed SnN crystal, with properties calculated at the GGA-PBEsol level.

Cell: 3.2022 3.2038 10.3083 Å, 96.08 96.88 101.65°
Positions (direct):
Sn  0.1912  0.2027  0.3835
Sn  0.8088  0.7973  0.6165
N  0.4679  0.4614  0.9453
N  0.5321  0.5386  0.0547

Values from the calculation:
space group: No. 2
calculated total energy: -6.27 eV per atom
N(E_F): 0.63 states/eV/cell
mass density: 4.33 g/cm3
E_form (uncorrected): 0.125 eV/atom
calculated volume: 25.48 A^3/atom